# La2BrCl2 PBE-GGA optimized geometry
data_La2BrCl2
_chemical_formula_sum 'La2 Br1 Cl2'
_cell_length_a 4.231
_cell_length_b 4.231
_cell_length_c 10.251
_cell_angle_alpha 90.30
_cell_angle_beta 90.30
_cell_angle_gamma 59.84
_symmetry_space_group_name_H-M 'P 1'
_symmetry_Int_Tables_number 1
loop_
_symmetry_equiv_pos_as_xyz
'x,y,z'
loop_
_atom_site_label
_atom_site_type_symbol
_atom_site_fract_x
_atom_site_fract_y
_atom_site_fract_z
La1 La 0.169 0.169 0.166
La2 La 0.831 0.831 0.834
Br1 Br 0.500 0.500 0.000
Cl1 Cl 0.163 0.163 0.673
Cl2 Cl 0.837 0.837 0.327
# total magnetic moment: 0.000 μB per atom
# polymorph energy (0 for the lowest one): 34 meV per atom
# ΔE_f (raw): -1.76 eV per atom
# E_tot: -4.807 eV/atom
# mass density: 4.49 g/cm3

# LaMgBrCl2 PBE-GGA optimized geometry
data_LaMgBrCl2
_chemical_formula_sum 'La1 Mg1 Br1 Cl2'
_cell_length_a 5.619
_cell_length_b 5.619
_cell_length_c 5.943
_cell_angle_alpha 90.00
_cell_angle_beta 90.00
_cell_angle_gamma 90.00
_symmetry_space_group_name_H-M 'P 1'
_symmetry_Int_Tables_number 1
loop_
_symmetry_equiv_pos_as_xyz
'x,y,z'
loop_
_atom_site_label
_atom_site_type_symbol
_atom_site_fract_x
_atom_site_fract_y
_atom_site_fract_z
La1 La 0.000 0.000 0.000
Mg1 Mg 0.500 0.500 0.500
Br1 Br 0.000 0.000 0.500
Cl1 Cl 0.000 0.500 0.000
Cl2 Cl 0.500 0.000 0.000
# total magnetic moment: 0.000 μB per atom
# ΔE_f (raw): -1.45 eV per atom
# E_tot: -3.831 eV/atom
# mass density: 2.78 g/cm3

# La4MnBr2Cl PBE-GGA optimized geometry
data_La4MnBr2Cl
_chemical_formula_sum 'La4 Mn1 Br2 Cl1'
_cell_length_a 7.478
_cell_length_b 4.054
_cell_length_c 7.945
_cell_angle_alpha 90.00
_cell_angle_beta 103.56
_cell_angle_gamma 90.00
_symmetry_space_group_name_H-M 'P 1'
_symmetry_Int_Tables_number 1
loop_
_symmetry_equiv_pos_as_xyz
'x,y,z'
loop_
_atom_site_label
_atom_site_type_symbol
_atom_site_fract_x
_atom_site_fract_y
_atom_site_fract_z
La1 La 0.221 0.000 0.300
La2 La 0.227 0.500 0.716
La3 La 0.773 0.500 0.284
La4 La 0.779 0.000 0.700
Mn1 Mn 0.000 0.000 0.500
Br1 Br 0.000 0.500 0.000
Br2 Br 0.500 0.000 0.000
Cl1 Cl 0.500 0.500 0.500
# total magnetic moment: 0.062 μB per atom
# ΔE_f (raw): -0.95 eV per atom
# E_tot: -5.213 eV/atom
# mass density: 5.72 g/cm3

# La2BrNCl PBE-GGA optimized geometry
data_La2BrNCl
_chemical_formula_sum 'La4 Br2 N2 Cl2'
_cell_length_a 8.554
_cell_length_b 8.554
_cell_length_c 10.553
_cell_angle_alpha 127.87
_cell_angle_beta 127.87
_cell_angle_gamma 28.55
_symmetry_space_group_name_H-M 'P 1'
_symmetry_Int_Tables_number 1
loop_
_symmetry_equiv_pos_as_xyz
'x,y,z'
loop_
_atom_site_label
_atom_site_type_symbol
_atom_site_fract_x
_atom_site_fract_y
_atom_site_fract_z
La1 La 0.082 0.082 0.314
La2 La 0.377 0.377 0.945
La3 La 0.623 0.623 0.055
La4 La 0.918 0.918 0.686
Br1 Br 0.290 0.290 0.364
Br2 Br 0.710 0.710 0.636
N1 N 0.451 0.451 0.812
N2 N 0.549 0.549 0.188
Cl1 Cl 0.138 0.138 0.859
Cl2 Cl 0.862 0.862 0.141
# total magnetic moment: 0.000 μB per atom
# ΔE_f (raw): -1.84 eV per atom
# E_tot: -6.180 eV/atom
# mass density: 4.74 g/cm3